## CaS2Cl (PBE)

Data for a geometry-optimized CaS2Cl structure.

The structure in CIF format:
```
data_CaS2Cl
_chemical_formula_sum 'Ca4 S8 Cl4'
_cell_length_a 7.0703
_cell_length_b 7.0703
_cell_length_c 7.0703
_cell_angle_alpha 90.00
_cell_angle_beta 90.00
_cell_angle_gamma 90.00
_symmetry_space_group_name_H-M 'F m -3 m'
_symmetry_Int_Tables_number 225
_symmetry_space_group_name_Hall '-F 4 2 3'
loop_
_atom_site_label
_atom_site_fract_x
_atom_site_fract_y
_atom_site_fract_z
_atom_site_occupancy
Ca1 0.0000 0.0000 0.0000 1
S1 0.2500 0.2500 0.2500 1
Cl1 0.0000 0.0000 0.5000 1
```

## Properties
- distance to the lowest polymorph of the same formula (meV/atom) = 422
- E_form (uncorrected) (eV/atom) = -0.2799
- total magnetization (Bohr magnetons per cell) = 12.0


## Ac2TePd (PBE)

Data for a geometry-optimized Ac2TePd structure.

The structure in CIF format:
```
data_Ac2TePd
_chemical_formula_sum 'Ac6 Te3 Pd3'
_cell_length_a 4.4574
_cell_length_b 4.4574
_cell_length_c 24.4171
_cell_angle_alpha 90.00
_cell_angle_beta 90.00
_cell_angle_gamma 120.00
_symmetry_space_group_name_H-M 'R -3 m'
_symmetry_Int_Tables_number 166
_symmetry_space_group_name_Hall '-R 3 2"'
loop_
_atom_site_label
_atom_site_fract_x
_atom_site_fract_y
_atom_site_fract_z
_atom_site_occupancy
Ac1 0.0000 0.0000 0.2387 1
Te1 0.0000 0.0000 0.0000 1
Pd1 0.0000 0.0000 0.5000 1
```

## Properties
- distance to the lowest polymorph of the same formula (meV/atom) = 0
- E_form (uncorrected) (eV/atom) = -1.1325
- total magnetization (Bohr magnetons per cell) = 0.0


## AcTbCo2 (PBE)

Data for a geometry-optimized AcTbCo2 structure.

The structure in CIF format:
```
data_AcTbCo2
_chemical_formula_sum 'Ac1 Tb1 Co2'
_cell_length_a 3.5126
_cell_length_b 3.5126
_cell_length_c 6.9905
_cell_angle_alpha 90.00
_cell_angle_beta 90.00
_cell_angle_gamma 90.00
_symmetry_space_group_name_H-M 'P 4/m m m'
_symmetry_Int_Tables_number 123
_symmetry_space_group_name_Hall '-P 4 2'
loop_
_atom_site_label
_atom_site_fract_x
_atom_site_fract_y
_atom_site_fract_z
_atom_site_occupancy
Ac1 0.0000 0.0000 0.0000 1
Tb1 0.0000 0.0000 0.5000 1
Co1 0.5000 0.5000 0.2764 1
```

## Properties
- distance to the lowest polymorph of the same formula (meV/atom) = 0
- E_form (eV/atom) = 0.087
- total magnetization (Bohr magnetons per cell) = 1.0


## HfTi3Mn2 (PBE)

Data for a geometry-optimized HfTi3Mn2 structure.

The structure in CIF format:
```
data_HfTi3Mn2
_chemical_formula_sum 'Hf1 Ti3 Mn2'
_cell_length_a 3.0357
_cell_length_b 3.0357
_cell_length_c 9.9789
_cell_angle_alpha 90.00
_cell_angle_beta 90.00
_cell_angle_gamma 90.00
_symmetry_space_group_name_H-M 'P 4/m m m'
_symmetry_Int_Tables_number 123
_symmetry_space_group_name_Hall '-P 4 2'
loop_
_atom_site_label
_atom_site_fract_x
_atom_site_fract_y
_atom_site_fract_z
_atom_site_occupancy
Hf1 0.0000 0.0000 0.0000 1
Ti1 0.5000 0.5000 0.2129 1
Ti2 0.5000 0.5000 0.5000 1
Mn1 0.0000 0.0000 0.3478 1
```

## Properties
- E_form (eV/atom) = -0.135
- total magnetization (Bohr magnetons per cell) = 0.3


## LiLaFe (PBE)

Data for a geometry-optimized LiLaFe structure.

The structure in CIF format:
```
data_LiLaFe
_chemical_formula_sum 'Li4 La4 Fe4'
_cell_length_a 6.6585
_cell_length_b 6.6585
_cell_length_c 6.6585
_cell_angle_alpha 90.00
_cell_angle_beta 90.00
_cell_angle_gamma 90.00
_symmetry_space_group_name_H-M 'F -4 3 m'
_symmetry_Int_Tables_number 216
_symmetry_space_group_name_Hall 'F -4 2 3'
loop_
_atom_site_label
_atom_site_fract_x
_atom_site_fract_y
_atom_site_fract_z
_atom_site_occupancy
Li1 0.0000 0.0000 0.0000 1
La1 0.2500 0.2500 0.7500 1
Fe1 0.0000 0.0000 0.5000 1
```

## Properties
- distance to the lowest polymorph of the same formula (meV/atom) = 747
- E_form (eV/atom) = 0.930
- total magnetization (Bohr magnetons per cell) = 7.9


## Pr2ZrBr (PBE)

Data for a geometry-optimized Pr2ZrBr structure.

The structure in CIF format:
```
data_Pr2ZrBr
_chemical_formula_sum 'Pr6 Zr3 Br3'
_cell_length_a 3.4319
_cell_length_b 3.4319
_cell_length_c 34.3918
_cell_angle_alpha 90.00
_cell_angle_beta 90.00
_cell_angle_gamma 120.00
_symmetry_space_group_name_H-M 'R -3 m'
_symmetry_Int_Tables_number 166
_symmetry_space_group_name_Hall '-R 3 2"'
loop_
_atom_site_label
_atom_site_fract_x
_atom_site_fract_y
_atom_site_fract_z
_atom_site_occupancy
Pr1 0.0000 0.0000 0.0947 1
Zr1 0.0000 0.0000 0.0000 1
Br1 0.0000 0.0000 0.5000 1
```

## Properties
- E_form (uncorrected) (eV/atom) = -0.1605
- total magnetization (Bohr magnetons per cell) = 0.0


## Ca2Sm3Pd2 (PBE)

Data for a geometry-optimized Ca2Sm3Pd2 structure.

The structure in CIF format:
```
data_Ca2Sm3Pd2
_chemical_formula_sum 'Ca4 Sm6 Pd4'
_cell_length_a 12.7958
_cell_length_b 3.9495
_cell_length_c 9.2474
_cell_angle_alpha 90.00
_cell_angle_beta 117.62
_cell_angle_gamma 90.00
_symmetry_space_group_name_H-M 'C 1 2/m 1'
_symmetry_Int_Tables_number 12
loop_
_symmetry_equiv_pos_as_xyz
'x,y,z'
'-x,-y,-z'
'-x,y,-z'
'x,-y,z'
'x+1/2,y+1/2,z'
'-x+1/2,-y+1/2,-z'
'-x+1/2,y+1/2,-z'
'x+1/2,-y+1/2,z'
loop_
_atom_site_label
_atom_site_fract_x
_atom_site_fract_y
_atom_site_fract_z
_atom_site_occupancy
Ca1 0.1628 0.0000 0.3079 1
Sm1 0.0000 0.5000 0.5000 1
Sm2 0.1195 0.5000 0.9397 1
Pd1 0.1652 0.0000 0.7405 1
```

## Properties
- E_form (eV/atom) = -0.473
- total magnetization (Bohr magnetons per cell) = 0.0


## Tb3Th2Sc4 (PBE)

Data for a geometry-optimized Tb3Th2Sc4 structure.

The structure in CIF format:
```
data_Tb3Th2Sc4
_chemical_formula_sum 'Tb6 Th4 Sc8'
_cell_length_a 14.4237
_cell_length_b 4.9022
_cell_length_c 7.6215
_cell_angle_alpha 90.00
_cell_angle_beta 107.09
_cell_angle_gamma 90.00
_symmetry_space_group_name_H-M 'C 1 2/m 1'
_symmetry_Int_Tables_number 12
loop_
_symmetry_equiv_pos_as_xyz
'x,y,z'
'-x,-y,-z'
'-x,y,-z'
'x,-y,z'
'x+1/2,y+1/2,z'
'-x+1/2,-y+1/2,-z'
'-x+1/2,y+1/2,-z'
'x+1/2,-y+1/2,z'
loop_
_atom_site_label
_atom_site_fract_x
_atom_site_fract_y
_atom_site_fract_z
_atom_site_occupancy
Tb1 0.0000 0.0000 0.0000 1
Tb2 0.0562 0.5000 0.3318 1
Th1 0.2250 0.0000 0.3320 1
Sc1 0.1171 0.0000 0.6702 1
Sc2 0.1726 0.5000 0.0036 1
```

## Properties
- distance to the lowest polymorph of the same formula (meV/atom) = 0
- E_form (eV/atom) = 0.046
- total magnetization (Bohr magnetons per cell) = 0.0


## AgHg2Ru (PBE)

Data for a geometry-optimized AgHg2Ru structure.

The structure in CIF format:
```
data_AgHg2Ru
_chemical_formula_sum 'Ag3 Hg6 Ru3'
_cell_length_a 2.9451
_cell_length_b 2.9451
_cell_length_c 30.7116
_cell_angle_alpha 90.00
_cell_angle_beta 90.00
_cell_angle_gamma 120.00
_symmetry_space_group_name_H-M 'R 3 m'
_symmetry_Int_Tables_number 160
_symmetry_space_group_name_Hall 'R 3 -2"'
loop_
_atom_site_label
_atom_site_fract_x
_atom_site_fract_y
_atom_site_fract_z
_atom_site_occupancy
Ag1 0.0000 0.0000 0.0000 1
Hg1 0.0000 0.0000 0.2487 1
Hg2 0.0000 0.0000 0.4844 1
Ru1 0.0000 0.0000 0.7412 1
```

## Properties
- distance to the lowest polymorph of the same formula (meV/atom) = 57
- E_form (eV/atom) = 0.442
- total magnetization (Bohr magnetons per cell) = 2.6


## SiAs2Cl (PBE)

Data for a geometry-optimized SiAs2Cl structure.

The structure in CIF format:
```
data_SiAs2Cl
_chemical_formula_sum 'Si1 As2 Cl1'
_cell_length_a 3.1654
_cell_length_b 4.7103
_cell_length_c 5.1599
_cell_angle_alpha 90.00
_cell_angle_beta 90.00
_cell_angle_gamma 90.00
_symmetry_space_group_name_H-M 'P m m m'
_symmetry_Int_Tables_number 47
loop_
_symmetry_equiv_pos_as_xyz
'x,y,z'
'-x,-y,-z'
'-x,-y,z'
'x,y,-z'
'x,-y,-z'
'-x,y,z'
'-x,y,-z'
'x,-y,z'
loop_
_atom_site_label
_atom_site_fract_x
_atom_site_fract_y
_atom_site_fract_z
_atom_site_occupancy
Si1 0.0000 0.0000 0.0000 1
As1 0.0000 0.5000 0.5000 1
As2 0.5000 0.0000 0.5000 1
Cl1 0.5000 0.5000 0.0000 1
```

## Properties
- distance to the lowest polymorph of the same formula (meV/atom) = 535
- E_form (uncorrected) (eV/atom) = 0.4814
- total magnetization (Bohr magnetons per cell) = 0.0